{
  "formula": "YAg2WF",
  "functional": "PBEsol",
  "state": "optimized geometry",
  "lattice": [[3.9528, 0.0000, 0.0000], [0.0000, 5.0932, 0.0000], [0.0000, 0.0000, 5.0932]],
  "species": ["Y", "Ag", "Ag", "W", "F"],
  "fractional_positions": [[0.5000, 0.5000, 0.5000], [0.0000, 0.0000, 0.5000], [0.0000, 0.5000, 0.0000], [0.0000, 0.0000, 0.0000], [0.5000, 0.0000, 0.0000]],
  "n_ef_per_ev_atom": 0.846,
  "total_magnetization_mub_per_fu": 0.00,
  "spacegroup": "No. 123",
  "e_tot_ev_per_cell": -28.33
}